First-principles (PBE with a Hubbard U) data for an optimized crystal structure of CoTcO3, as listed in OQMD via LeMat-Bulk.

```
CoTcO3
1.0
3.667 0.000 0.000
0.000 3.667 0.000
0.000 0.000 3.667
O Co Tc
3 1 1
Direct
0.500 0.000 0.500 O
0.000 0.500 0.500 O
0.500 0.500 0.000 O
0.500 0.500 0.500 Co
0.000 0.000 0.000 Tc
```

The total energy is -6.157 eV/atom. The space-group type is Pm-3m, No. 221. The total magnetization is 3.757 μB per cell.